# 1
{"formula": "LiMg30CoO32", "functional": "PBE+U", "state": "relaxed", "cell": [[8.486, 0.000, 0.000], [0.000, 8.511, 0.000], [0.000, 0.000, 8.511]], "species": ["Li", "Mg", "Mg", "Mg", "Mg", "Mg", "Mg", "Mg", "Mg", "Mg", "Mg", "Mg", "Mg", "Mg", "Mg", "Mg", "Mg", "Mg", "Mg", "Mg", "Mg", "Mg", "Mg", "Mg", "Mg", "Mg", "Mg", "Mg", "Mg", "Mg", "Mg", "Co", "O", "O", "O", "O", "O", "O", "O", "O", "O", "O", "O", "O", "O", "O", "O", "O", "O", "O", "O", "O", "O", "O", "O", "O", "O", "O", "O", "O", "O", "O", "O", "O"], "frac_coords": [[0.500, 0.000, 0.000], [0.000, 0.500, 0.000], [0.500, 0.500, 0.000], [0.000, 0.000, 0.500], [0.500, 0.000, 0.500], [0.000, 0.500, 0.500], [0.500, 0.500, 0.500], [0.254, 0.251, 0.000], [0.746, 0.251, 0.000], [0.254, 0.749, 0.000], [0.746, 0.749, 0.000], [0.251, 0.250, 0.500], [0.749, 0.250, 0.500], [0.251, 0.750, 0.500], [0.749, 0.750, 0.500], [0.254, 0.000, 0.251], [0.746, 0.000, 0.251], [0.251, 0.500, 0.250], [0.749, 0.500, 0.250], [0.254, 0.000, 0.749], [0.746, 0.000, 0.749], [0.251, 0.500, 0.750], [0.749, 0.500, 0.750], [0.000, 0.250, 0.250], [0.500, 0.247, 0.247], [0.000, 0.750, 0.250], [0.500, 0.753, 0.247], [0.000, 0.250, 0.750], [0.500, 0.247, 0.753], [0.000, 0.750, 0.750], [0.500, 0.753, 0.753], [0.000, 0.000, 0.000], [0.000, 0.000, 0.248], [0.500, 0.000, 0.253], [0.000, 0.500, 0.249], [0.500, 0.500, 0.250], [0.000, 0.000, 0.752], [0.500, 0.000, 0.747], [0.000, 0.500, 0.751], [0.500, 0.500, 0.750], [0.249, 0.249, 0.249], [0.751, 0.249, 0.249], [0.249, 0.751, 0.249], [0.751, 0.751, 0.249], [0.249, 0.249, 0.751], [0.751, 0.249, 0.751], [0.249, 0.751, 0.751], [0.751, 0.751, 0.751], [0.229, 0.000, 0.000], [0.771, 0.000, 0.000], [0.248, 0.500, 0.000], [0.752, 0.500, 0.000], [0.248, 0.000, 0.500], [0.752, 0.000, 0.500], [0.249, 0.500, 0.500], [0.751, 0.500, 0.500], [0.000, 0.248, 0.000], [0.500, 0.253, 0.000], [0.000, 0.752, 0.000], [0.500, 0.747, 0.000], [0.000, 0.249, 0.500], [0.500, 0.250, 0.500], [0.000, 0.751, 0.500], [0.500, 0.750, 0.500]]}



# 2
{"formula": "LiMgCo2O4", "functional": "PBE+U", "state": "relaxed", "dos_at_fermi_per_ev_fu": 1.26, "cell": [[-0.916, 1.646, 3.773], [2.062, -3.146, 1.905], [2.885, 2.945, -2.957]], "species": ["Li", "Mg", "Co", "Co", "O", "O", "O", "O"], "frac_coords": [[0.938, 0.938, 0.000], [0.437, 0.437, 0.000], [0.187, 0.687, 0.500], [0.687, 0.187, 0.500], [0.937, 0.437, 0.000], [0.437, 0.937, 0.000], [0.190, 0.190, 0.505], [0.685, 0.685, 0.495]]}



Number 1: VASP energy -5.96 eV/atom. Number 2: VASP energy -5.77 eV/atom.